Ac4HoTe5: relaxed, PBE.

Computed properties:
Crystal system   tetragonal
Space-group type   I4
Raw formation energy   -1421.0 meV/atom
ΔE to the lowest computed polymorph   0.0145 eV per atom

Unit cell a=6.605 b=8.058 c=8.058 alpha=80.33 beta=65.81 gamma=65.81
Fractional coordinates of all 10 atoms:
Ho 0.003 0.000 0.000
Ac 0.808 0.783 0.602
Te 0.281 0.821 0.619
Ac 0.591 0.602 0.217
Ac 0.410 0.398 0.783
Te 0.502 0.000 0.000
Te 0.720 0.179 0.381
Te 0.900 0.381 0.821
Ac 0.193 0.217 0.398
Te 0.102 0.619 0.179